[1]
A plane-wave DFT calculation with PBE was carried out for ZnNiS after structural relaxation.

Geometry as POSCAR:
```
ZnNiS
1.0
3.5595 0.0012 0.0005
1.7780 3.5308 0.0131
1.7599 -0.1685 3.6947
Ni Zn S
1 1 1
direct
0.7402 0.3100 0.7182
0.2725 0.6150 0.3455
0.4066 0.9274 0.7684
```

Computed properties:
Raw formation energy   -0.223 eV per atom
Total moment   0.0 μB/f.u.
N(E_F)   0.2026 states/eV per atom
Density   5.6 g cm⁻³
Raw total energy   -11.852 eV per cell
E above lowest polymorph   0.096 eV/atom


[2]
A plane-wave DFT calculation with PBE was carried out for ZnNiS after structural relaxation.

Geometry as POSCAR:
```
ZnNiS
1.0
3.6073 0.0000 -0.0949
0.0000 4.8147 0.0000
-0.1750 0.0000 5.2540
S Zn Ni
2 2 2
direct
0.3311 0.0511 0.2478
0.6689 0.5511 0.7522
0.2874 0.1007 0.6910
0.7126 0.6007 0.3090
0.8420 0.2155 0.0155
0.1580 0.7155 0.9845
```

Computed properties:
Raw formation energy   -0.225 eV per atom
Total moment   0.0 μB/f.u.
N(E_F)   0.2510 states/eV per atom
Density   5.7 g cm⁻³
Raw total energy   -23.715 eV per cell
E above lowest polymorph   0.094 eV/atom


- Which of these has the lowest N(E_F)?
  number 1